## Li4ICl3 (PBE-GGA)

Data for Li4ICl3 after structural relaxation.

As for the density of states at the Fermi level: 0.0 states/eV per cell. As for the formation energy without anion corrections: -1663 meV/atom. The crystal system is orthorhombic.

It has space group Pmn2_1 (No. 31), with a = 8.092 Å, b = 7.162 Å, c = 6.585 Å, α = 90.00°, β = 90.00° and γ = 90.00°. The inequivalent atoms are Li at (0.000, 0.153, 0.000), Li at (0.000, 0.791, 0.567), Li at (0.229, 0.648, 0.070), I at (0.000, 0.156, 0.429), Cl at (0.000, 0.817, 0.931) and Cl at (0.248, 0.340, 0.932).

---

## Tm2Ga4CoCu3 (PBE-GGA)

Data for Tm2Ga4CoCu3 after structural relaxation.

For the formation energy, the calculation gives -400.5 meV/atom. As for the density of states at the Fermi level: 4.7 states/eV per cell. The crystal system is tetragonal.

It has space group P-4m2 (No. 115), with a = 3.976 Å, b = 3.976 Å, c = 10.500 Å, α = 90.00°, β = 90.00° and γ = 90.00°. The inequivalent atoms are Tm at (0.000, 0.500, 0.245), Ga at (0.000, 0.000, 0.500), Ga at (0.000, 0.500, 0.870), Ga at (0.500, 0.500, 0.500), Co at (0.500, 0.500, 0.000), Cu at (0.000, 0.000, 0.000) and Cu at (0.000, 0.500, 0.642).

---

## Rb3ErCl6 (PBE-GGA)

Data for Rb3ErCl6 after structural relaxation.

As for the density of states at the Fermi level: 0.0 states/eV per cell. As for the formation energy without anion corrections: -2145 meV/atom. The crystal system is monoclinic.

It has space group C2/c (No. 15), with a = 25.880 Å, b = 8.070 Å, c = 13.142 Å, α = 90.00°, β = 99.58° and γ = 90.00°. The inequivalent atoms are Rb at (0.056, 0.226, 0.445), Rb at (0.153, 0.319, 0.147), Rb at (0.165, 0.188, 0.808), Er at (0.000, 0.199, 0.750), Er at (0.250, 0.250, 0.500), Cl at (0.054, 0.206, 0.936), Cl at (0.062, 0.042, 0.208), Cl at (0.062, 0.417, 0.682), Cl at (0.170, 0.443, 0.426), Cl at (0.181, 0.027, 0.534) and Cl at (0.250, 0.120, 0.315).

---

## FeHgBiH (PBE-GGA)

Data for FeHgBiH after structural relaxation.

As for the energy above the most stable polymorph in this dataset: 0.093 eV per atom. As for the density of states at the Fermi level: 1.7 states/eV per cell. The crystal system is tetragonal.

It has space group P4mm (No. 99), with a = 3.408 Å, b = 3.408 Å, c = 6.206 Å, α = 90.00°, β = 90.00° and γ = 90.00°. The inequivalent atoms are Fe at (0.000, 0.000, 0.000), Hg at (0.500, 0.500, 0.264), Bi at (0.500, 0.500, 0.751) and H at (0.000, 0.000, 0.256).

---

## Ba2Sr4As3F2 (PBE-GGA)

Data for Ba2Sr4As3F2 after structural relaxation.

As for the density of states at the Fermi level: 7.7 states/eV per cell. As for the formation energy without anion corrections: -1781 meV/atom. The crystal system is tetragonal.

It has space group I4/mmm (No. 139), with a = 5.020 Å, b = 5.020 Å, c = 25.613 Å, α = 90.00°, β = 90.00° and γ = 90.00°. The inequivalent atoms are Ba at (0.000, 0.000, 0.205), Sr at (0.000, 0.500, 0.079), As at (0.000, 0.000, 0.335), As at (0.000, 0.000, 0.500) and F at (0.000, 0.000, 0.093).

---

## Np2Pb2O7 (PBE-GGA)

Data for Np2Pb2O7 after structural relaxation.

As for the density of states at the Fermi level: 78.4 states/eV per cell. As for the formation energy without anion corrections: -2277 meV/atom. The crystal system is cubic.

It has space group Fd-3m (No. 227, origin choice 2), with a = 11.335 Å, b = 11.335 Å, c = 11.335 Å, α = 90.00°, β = 90.00° and γ = 90.00°. The inequivalent atoms are Np at (0.000, 0.000, 0.000), Pb at (0.000, 0.000, 0.500), O at (0.068, 0.375, 0.375) and O at (0.125, 0.125, 0.625).

---

## YSiRh (PBE-GGA)

Data for YSiRh after structural relaxation.

As for the density of states at the Fermi level: 18.8 states/eV per cell. As for the formation energy without anion corrections: -602 meV/atom. The crystal system is cubic.

It has space group F-43m (No. 216), with a = 6.290 Å, b = 6.290 Å, c = 6.290 Å, α = 90.00°, β = 90.00° and γ = 90.00°. The inequivalent atoms are Y at (0.000, 0.000, 0.000), Si at (0.000, 0.000, 0.500) and Rh at (0.250, 0.250, 0.250).

---

## RbBaLaCl6 (PBE-GGA)

Data for RbBaLaCl6 after structural relaxation.

As for the density of states at the Fermi level: 0.0 states/eV per cell. As for the formation energy without anion corrections: -2340 meV/atom. The crystal system is trigonal.

It has space group P-31c (No. 163), with a = 7.8930 Å, b = 7.8930 Å, c = 13.3573 Å, α = 90.00°, β = 90.00° and γ = 120.00°. The inequivalent atoms are Rb at (0.0000, 0.0000, 0.0000), Ba at (0.3333, 0.6667, 0.2500), La at (0.3333, 0.6667, 0.7500) and Cl at (0.0278, 0.3778, 0.6351).

---

## NdTe2O5 (PBE-GGA)

Data for NdTe2O5 after structural relaxation.

As for the density of states at the Fermi level: 6.4 states/eV per cell. As for the formation energy without anion corrections: -1629 meV/atom. The crystal system is orthorhombic.

It has space group Pbcn (No. 60), with a = 7.385 Å, b = 10.874 Å, c = 7.454 Å, α = 90.00°, β = 90.00° and γ = 90.00°. The inequivalent atoms are Nd at (0.000, 0.053, 0.250), Te at (0.100, 0.354, 0.025), O at (0.000, 0.439, 0.250), O at (0.168, 0.063, 0.525) and O at (0.182, 0.219, 0.168).

---

## Cu2SiNi (PBE-GGA)

Data for Cu2SiNi after structural relaxation.

As for the density of states at the Fermi level: 2.1 states/eV per cell. As for the formation energy without anion corrections: -175 meV/atom. The crystal system is orthorhombic.

It has space group Pmmm (No. 47), with a = 3.482 Å, b = 3.536 Å, c = 3.752 Å, α = 90.00°, β = 90.00° and γ = 90.00°. The inequivalent atoms are Cu at (0.000, 0.000, 0.000), Cu at (0.500, 0.500, 0.000), Si at (0.000, 0.500, 0.500) and Ni at (0.500, 0.000, 0.500).

---

## Tb2UTl3Se6 (PBE-GGA)

Data for Tb2UTl3Se6 after structural relaxation.

As for the density of states at the Fermi level: 17.9 states/eV per cell. As for the formation energy without anion corrections: -1201 meV/atom. The crystal system is monoclinic.

It has space group C2/m (No. 12), with a = 7.295 Å, b = 12.614 Å, c = 8.164 Å, α = 90.00°, β = 107.29° and γ = 90.00°. The inequivalent atoms are Tb at (0.000, 0.167, 0.000), U at (0.000, 0.500, 0.000), Tl at (0.000, 0.000, 0.500), Tl at (0.000, 0.333, 0.500), Se at (0.234, 0.000, 0.205) and Se at (0.236, 0.333, 0.205).

---

## BaCrPtSe2 (PBE-GGA)

Data for BaCrPtSe2 after structural relaxation.

As for the density of states at the Fermi level: 8.1 states/eV per cell. As for the formation energy without anion corrections: 1452 meV/atom. The crystal system is tetragonal.

It has space group P4/mmm (No. 123), with a = 5.839 Å, b = 5.839 Å, c = 5.821 Å, α = 90.00°, β = 90.00° and γ = 90.00°. The inequivalent atoms are Ba at (0.000, 0.000, 0.000), Cr at (0.000, 0.000, 0.500), Pt at (0.500, 0.500, 0.500) and Se at (0.000, 0.500, 0.000).